Ac4GeBiCl2 after structural relaxation. Source: Alexandria, functional PBE.

The calculation puts the volume at 33.9 Å³/atom. For the formation energy (no corrections), the calculation gives -1225 meV per atom.

The structure belongs to space group P2/m (No. 10); the cell edges are 7.5048, 4.6256 and 8.3430 Å and the angles 90.00°, 110.39° and 90.00°. The inequivalent atoms are Ac at (0.2419, 0.0000, 0.2259), Ac at (0.2532, 0.5000, 0.7756), Ge at (0.0000, 0.5000, 0.0000), Bi at (0.0000, 0.0000, 0.5000), Cl at (0.5000, 0.0000, 0.0000) and Cl at (0.5000, 0.5000, 0.5000).

***

UOF3 after structural relaxation. Source: Alexandria, functional PBE.

The calculation puts the volume at 13.9 Å³/atom. For the formation energy (no corrections), the calculation gives -3284 meV per atom.

The structure belongs to space group R-3c (No. 167, hexagonal axes); the cell edges are 7.6527, 7.6527 and 8.2367 Å and the angles 90.00°, 90.00° and 120.00°. The inequivalent atoms are U at (0.0000, 0.0000, 0.2500), O at (0.0000, 0.0000, 0.0000) and F at (0.0000, 0.2757, 0.2500).

***

Sn2TePd7 after structural relaxation. Source: Alexandria, functional PBE.

The calculation puts the volume at 21.7 Å³/atom. For the formation energy (no corrections), the calculation gives -45 meV per atom.

The structure belongs to space group Cmmm (No. 65); the cell edges are 7.3686, 13.4421 and 4.3897 Å and the angles 90.00°, 90.00° and 90.00°. The inequivalent atoms are Sn at (0.0000, 0.1978, 0.0000), Te at (0.0000, 0.5000, 0.5000), Pd at (0.0000, 0.0000, 0.0000), Pd at (0.0000, 0.3009, 0.5000) and Pd at (0.1835, 0.3931, 0.0000).

***

NiIrCl after structural relaxation. Source: Alexandria, functional PBE.

The calculation puts the volume at 15.1 Å³/atom. For the formation energy (no corrections), the calculation gives 613 meV per atom.

The structure belongs to space group I4mm (No. 107); the cell edges are 2.8794, 2.8794 and 10.9338 Å and the angles 90.00°, 90.00° and 90.00°. The inequivalent atoms are Ni at (0.0000, 0.0000, 0.0000), Ir at (0.0000, 0.0000, 0.3580) and Cl at (0.0000, 0.0000, 0.6672).